No. 1
# Tb3NdErTm

Tb3NdErTm after structural relaxation (PBE, Alexandria via LeMat-Bulk).

The calculation puts the energy at -4.49 eV/atom. The calculation puts the energy of formation at 0.123 eV per atom. The space-group type is Cmcm. For the magnetic moment, the calculation gives 0.0 μB/cell.

a = 6.488 Å, b = 6.488 Å, c = 11.542 Å
α = 90.00°, β = 90.00°, γ = 127.72°
Sites, in units of the cell vectors:
Tb: 0.134 0.866 0.750
Tb: 0.325 0.675 0.534
Tb: 0.325 0.675 0.966
Tb: 0.675 0.325 0.034
Tb: 0.675 0.325 0.466
Tb: 0.866 0.134 0.250
Nd: 0.473 0.527 0.250
Nd: 0.527 0.473 0.750
Er: 0.000 0.000 0.000
Er: 0.000 0.000 0.500
Tm: 0.173 0.827 0.250
Tm: 0.827 0.173 0.750



No. 2
# Dy2CdAg3

Dy2CdAg3 after structural relaxation (PBE, Alexandria via LeMat-Bulk).

The calculation puts the energy at -3.38 eV/atom. The calculation puts the energy of formation at -0.271 eV per atom. The space-group type is Fmmm. For the magnetic moment, the calculation gives 0.0 μB/cell.

a = 9.707 Å, b = 9.039 Å, c = 5.869 Å
α = 78.07°, β = 65.65°, γ = 36.27°
Sites, in units of the cell vectors:
Dy: 0.247 0.753 0.753
Dy: 0.250 0.250 0.250
Dy: 0.750 0.750 0.750
Dy: 0.753 0.247 0.247
Cd: 0.333 0.333 0.667
Cd: 0.667 0.667 0.333
Ag: 0.166 0.166 0.834
Ag: 0.167 0.667 0.333
Ag: 0.333 0.833 0.167
Ag: 0.667 0.167 0.833
Ag: 0.833 0.333 0.667
Ag: 0.834 0.834 0.166



No. 3
# AcLaTlI

AcLaTlI after structural relaxation (PBE, Alexandria via LeMat-Bulk).

The calculation puts the energy at -3.82 eV/atom. The space-group type is F-43m. For the magnetic moment, the calculation gives 0.0 μB/cell. The uncorrected formation energy comes out at -0.586 eV per atom.

a = 8.167 Å, b = 8.167 Å, c = 8.167 Å
α = 90.00°, β = 90.00°, γ = 90.00°
Sites, in units of the cell vectors:
Ac: 0.000 0.000 0.000
Ac: 0.000 0.500 0.500
Ac: 0.500 0.000 0.500
Ac: 0.500 0.500 0.000
La: 0.000 0.000 0.500
La: 0.000 0.500 0.000
La: 0.500 0.000 0.000
La: 0.500 0.500 0.500
Tl: 0.250 0.250 0.250
Tl: 0.250 0.750 0.750
Tl: 0.750 0.250 0.750
Tl: 0.750 0.750 0.250
I: 0.250 0.250 0.750
I: 0.250 0.750 0.250
I: 0.750 0.250 0.250
I: 0.750 0.750 0.750



> magnetic moment of number 2 (Dy2CdAg3)?

0.0 μB/cell